Here is a geometry-optimized Tb2BeP3Ir4 structure from Alexandria via LeMat-Bulk. Energies are from PBE-GGA.

The formation energy comes out at -0.970 eV per atom. For the volume, the calculation gives 158.9 Å³ per cell. As for the total energy: -7.436 eV per atom. As for the density of states at the Fermi level: 4.4 states/eV per cell. Its total magnetization is 0.00 μB/f.u.

The space group is P-4m2 (No. 115) and the conventional cell measures 4.051, 4.051 and 9.687 Å, with angles of 90.00, 90.00 and 90.00 degrees. The distinct sites, in fractional coordinates, are Tb at (0.000, 0.500, 0.240), Be at (0.500, 0.500, 0.000), P at (0.000, 0.000, 0.000), P at (0.000, 0.500, 0.641), Ir at (0.000, 0.000, 0.500), Ir at (0.000, 0.500, 0.879) and Ir at (0.500, 0.500, 0.500).



Here is a geometry-optimized TbBePIr structure from Alexandria via LeMat-Bulk. Energies are from PBE-GGA.

The formation energy comes out at -0.851 eV per atom. For the volume, the calculation gives 136.3 Å³ per cell. As for the total energy: -6.508 eV per atom. As for the density of states at the Fermi level: 3.6 states/eV per cell. Its total magnetization is 0.00 μB/f.u.

The space group is P4/nmm (No. 129, origin choice 2) and the conventional cell measures 3.929, 3.929 and 8.827 Å, with angles of 90.00, 90.00 and 90.00 degrees. The distinct sites, in fractional coordinates, are Tb at (0.250, 0.250, 0.203), Be at (0.250, 0.250, 0.637), P at (0.250, 0.250, 0.874) and Ir at (0.250, 0.750, 0.500).



Here is a geometry-optimized BeTcPIr structure from Alexandria via LeMat-Bulk. Energies are from PBE-GGA.

The formation energy comes out at -0.384 eV per atom. For the volume, the calculation gives 190.0 Å³ per cell. As for the total energy: -7.474 eV per atom. As for the density of states at the Fermi level: 5.3 states/eV per cell. Its total magnetization is 0.00 μB/f.u.

The space group is F-43m (No. 216) and the conventional cell measures 5.749, 5.749 and 5.749 Å, with angles of 90.00, 90.00 and 90.00 degrees. The distinct sites, in fractional coordinates, are Be at (0.000, 0.000, 0.000), Tc at (0.250, 0.250, 0.750), P at (0.000, 0.000, 0.500) and Ir at (0.250, 0.250, 0.250).



Here is a geometry-optimized ThBePIr structure from Alexandria via LeMat-Bulk. Energies are from PBE-GGA.

The formation energy comes out at -1.027 eV per atom. For the volume, the calculation gives 143.7 Å³ per cell. As for the total energy: -7.382 eV per atom. As for the density of states at the Fermi level: 1.3 states/eV per cell. Its total magnetization is 0.00 μB/f.u.

The space group is P4/nmm (No. 129, origin choice 2) and the conventional cell measures 4.120, 4.120 and 8.463 Å, with angles of 90.00, 90.00 and 90.00 degrees. The distinct sites, in fractional coordinates, are Th at (0.250, 0.250, 0.216), Be at (0.250, 0.250, 0.617), P at (0.250, 0.250, 0.870) and Ir at (0.250, 0.750, 0.500).



Here is a geometry-optimized ThBePIr6 structure from Alexandria via LeMat-Bulk. Energies are from PBE-GGA.

The formation energy comes out at -0.130 eV per atom. For the volume, the calculation gives 632.3 Å³ per cell. As for the total energy: -7.876 eV per atom. As for the density of states at the Fermi level: 25.4 states/eV per cell. Its total magnetization is 0.00 μB/f.u.

The space group is Imma (No. 74) and the conventional cell measures 6.025, 9.232 and 11.366 Å, with angles of 90.00, 90.00 and 90.00 degrees. The distinct sites, in fractional coordinates, are Th at (0.000, 0.250, 0.158), Be at (0.250, 0.250, 0.750), P at (0.000, 0.000, 0.500), Ir at (0.000, 0.250, 0.412), Ir at (0.000, 0.250, 0.894) and Ir at (0.232, 0.018, 0.864).



Here is a geometry-optimized Th2BePIr6 structure from Alexandria via LeMat-Bulk. Energies are from PBE-GGA.

The formation energy comes out at -0.649 eV per atom. For the volume, the calculation gives 361.6 Å³ per cell. As for the total energy: -8.363 eV per atom. As for the density of states at the Fermi level: 12.1 states/eV per cell. Its total magnetization is 0.00 μB/f.u.

The space group is Pmmn (No. 59, origin choice 2) and the conventional cell measures 5.560, 8.614 and 7.551 Å, with angles of 90.00, 90.00 and 90.00 degrees. The distinct sites, in fractional coordinates, are Th at (0.250, 0.010, 0.221), Be at (0.250, 0.750, 0.759), P at (0.250, 0.250, 0.751), Ir at (0.003, 0.750, 0.514), Ir at (0.007, 0.750, 0.007) and Ir at (0.250, 0.002, 0.615).